Entry 1:
ZnB4: relaxed, PBE-GGA.

The structure in POSCAR format:
```
ZnB4
1.0
-2.730 2.628 -1.223
-2.805 -2.817 0.209
-0.727 1.005 3.783
Zn B
1 4
direct
0.500 0.500 0.500 Zn
0.000 0.000 0.000 B
0.500 0.000 0.500 B
0.000 0.500 0.500 B
0.500 0.500 0.000 B
```

The magnetic moment comes out at 0.00 μB/f.u. The raw total energy comes out at -0.217 Ry/atom. For the formation energy, the calculation gives 1279 kJ/mol of formula units.



Entry 2:
LaCuPPt6: relaxed, PBE-GGA.

The structure in POSCAR format:
```
LaCuPPt6
1.0
-0.287 6.827 0.868
-8.733 -0.587 1.731
5.640 -3.769 4.184
La Cu P Pt
2 2 2 12
direct
0.841 0.591 0.681 La
0.159 0.409 0.319 La
0.500 0.000 0.500 Cu
0.000 0.000 0.500 Cu
0.500 0.500 0.000 P
0.500 0.000 0.000 P
0.428 0.678 0.855 Pt
0.905 0.155 0.811 Pt
0.882 0.112 0.251 Pt
0.369 0.640 0.251 Pt
0.369 0.112 0.251 Pt
0.882 0.640 0.251 Pt
0.572 0.322 0.145 Pt
0.095 0.845 0.189 Pt
0.118 0.888 0.749 Pt
0.631 0.360 0.749 Pt
0.631 0.888 0.749 Pt
0.118 0.360 0.749 Pt
```

The magnetic moment comes out at 0.00 μB/f.u. The raw total energy comes out at -0.441 Ry/atom. For the formation energy, the calculation gives -319 kJ/mol of formula units.